A plane-wave DFT calculation with PBE was carried out for crystalline Ac8TcRu2 at its relaxed geometry.

abc: 7.596 7.869 7.935
angles: 90.40 118.60 90.00
Fractional positions:
Ac: 0.714 0.265 0.922
Ac: 0.207 0.265 0.922
Ac: 0.286 0.735 0.078
Ac: 0.710 0.399 0.420
Ac: 0.793 0.735 0.078
Ac: 0.203 0.118 0.406
Ac: 0.797 0.882 0.594
Ac: 0.290 0.601 0.580
Tc: 0.000 0.000 0.000
Ru: 0.111 0.448 0.221
Ru: 0.889 0.552 0.779

Values from the calculation:
The calculated total energy comes out at -5.597 eV/atom. The density of states at the Fermi level comes out at 1.200 states/eV per atom.

---

A plane-wave DFT calculation with PBE was carried out for crystalline Ac8Tc2Ru at its relaxed geometry.

abc: 7.106 8.262 8.622
angles: 121.46 90.00 104.99
Fractional positions:
Ac: 0.255 0.763 0.382
Ac: 0.745 0.237 0.618
Ac: 0.745 0.744 0.112
Ac: 0.255 0.256 0.368
Ac: 0.248 0.743 0.872
Ac: 0.255 0.256 0.888
Ac: 0.745 0.744 0.632
Ac: 0.752 0.257 0.128
Tc: 0.467 0.437 0.718
Tc: 0.533 0.563 0.282
Ru: 0.000 0.000 0.000

Values from the calculation:
The calculated total energy comes out at -5.671 eV/atom. The density of states at the Fermi level comes out at 0.547 states/eV per atom.

---

A plane-wave DFT calculation with PBE was carried out for crystalline Ac12Te3Ru5 at its relaxed geometry.

abc: 15.852 15.852 15.852
angles: 109.47 109.47 109.47
Fractional positions:
Te: 0.750 0.375 0.125
Te: 0.875 0.750 0.125
Te: 0.375 0.750 0.625
Te: 0.250 0.125 0.375
Te: 0.875 0.125 0.250
Te: 0.375 0.625 0.250
Te: 0.625 0.375 0.750
Te: 0.125 0.875 0.750
Te: 0.750 0.875 0.625
Te: 0.625 0.250 0.375
Te: 0.125 0.250 0.875
Te: 0.250 0.625 0.875
Ru: 0.125 0.375 0.250
Ru: 0.000 0.500 0.000
Ru: 0.000 0.000 0.000
Ru: 0.375 0.250 0.125
Ru: 0.500 0.000 0.500
Ru: 0.500 0.500 0.000
Ru: 0.125 0.750 0.375
Ru: 0.750 0.125 0.875
Ru: 0.750 0.625 0.375
Ru: 0.375 0.125 0.750
Ru: 0.625 0.875 0.250
Ru: 0.500 0.500 0.500
Ru: 0.500 0.000 0.000
Ru: 0.000 0.000 0.500
Ru: 0.250 0.375 0.625
Ru: 0.250 0.875 0.125
Ru: 0.000 0.500 0.500
Ru: 0.875 0.250 0.625
Ru: 0.625 0.750 0.875
Ru: 0.875 0.625 0.750
Ac: 0.701 0.116 0.021
Ac: 0.320 0.521 0.405
Ac: 0.979 0.384 0.299
Ac: 0.521 0.201 0.116
Ac: 0.584 0.701 0.680
Ac: 0.979 0.595 0.180
Ac: 0.320 0.799 0.416
Ac: 0.095 0.916 0.116
Ac: 0.595 0.979 0.680
Ac: 0.701 0.584 0.180
Ac: 0.799 0.479 0.384
Ac: 0.820 0.905 0.021
Ac: 0.116 0.701 0.521
Ac: 0.384 0.405 0.084
Ac: 0.084 0.905 0.384
Ac: 0.416 0.116 0.595
Ac: 0.084 0.180 0.201
Ac: 0.479 0.680 0.095
Ac: 0.820 0.916 0.299
Ac: 0.116 0.416 0.095
Ac: 0.384 0.979 0.799
Ac: 0.595 0.616 0.416
Ac: 0.905 0.820 0.521
Ac: 0.799 0.320 0.916
Ac: 0.405 0.384 0.584
Ac: 0.095 0.180 0.479
Ac: 0.201 0.680 0.084
Ac: 0.180 0.084 0.701
Ac: 0.616 0.021 0.201
Ac: 0.884 0.584 0.905
Ac: 0.521 0.320 0.905
Ac: 0.584 0.884 0.405
Ac: 0.916 0.820 0.799
Ac: 0.916 0.095 0.616
Ac: 0.884 0.299 0.479
Ac: 0.180 0.095 0.979
Ac: 0.616 0.595 0.916
Ac: 0.405 0.021 0.320
Ac: 0.299 0.416 0.820
Ac: 0.201 0.521 0.616
Ac: 0.905 0.084 0.884
Ac: 0.680 0.201 0.584
Ac: 0.479 0.799 0.884
Ac: 0.021 0.405 0.820
Ac: 0.416 0.299 0.320
Ac: 0.021 0.616 0.701
Ac: 0.680 0.479 0.595
Ac: 0.299 0.884 0.979

Values from the calculation:
The calculated total energy comes out at -5.611 eV/atom. The density of states at the Fermi level comes out at 0.765 states/eV per atom. The calculation puts the uncorrected formation energy at -356 meV per atom.

---

A plane-wave DFT calculation with PBE was carried out for crystalline Ac3TeRu at its relaxed geometry.

abc: 5.714 5.714 5.714
angles: 90.00 90.00 90.00
Fractional positions:
Ru: 0.000 0.000 0.000
Ac: 0.000 0.500 0.000
Ac: 0.000 0.000 0.500
Ac: 0.500 0.000 0.000
Te: 0.500 0.500 0.500

Values from the calculation:
The calculated total energy comes out at -5.438 eV/atom. The density of states at the Fermi level comes out at 0.884 states/eV per atom. The energy above the most stable polymorph in this dataset is 144 meV per atom. The calculation puts the uncorrected formation energy at -490 meV per atom.

---

A plane-wave DFT calculation with PBE was carried out for crystalline Ac2TeRu at its relaxed geometry.

abc: 3.825 3.825 8.156
angles: 90.00 90.00 90.00
Fractional positions:
Ru: 0.500 0.500 0.000
Ac: 0.000 0.000 0.777
Ac: 0.000 0.000 0.223
Te: 0.500 0.500 0.500

Values from the calculation:
The calculated total energy comes out at -5.774 eV/atom. The density of states at the Fermi level comes out at 0.237 states/eV per atom. The energy above the most stable polymorph in this dataset is 61 meV per atom. The calculation puts the uncorrected formation energy at -616 meV per atom.

---

A plane-wave DFT calculation with PBE was carried out for crystalline Ac3TeRu at its relaxed geometry.

abc: 4.470 9.285 8.927
angles: 105.67 90.00 90.00
Fractional positions:
Ac: 0.250 0.591 0.317
Ac: 0.750 0.409 0.683
Ac: 0.250 0.065 0.687
Ac: 0.750 0.280 0.063
Ac: 0.750 0.935 0.313
Ac: 0.250 0.720 0.937
Te: 0.750 0.765 0.624
Te: 0.250 0.235 0.376
Ru: 0.750 0.616 0.093
Ru: 0.250 0.384 0.907

Values from the calculation:
The calculated total energy comes out at -5.582 eV/atom. The density of states at the Fermi level comes out at 0.782 states/eV per atom. The energy above the most stable polymorph in this dataset is 0 meV per atom. The calculation puts the uncorrected formation energy at -634 meV per atom.

---

A plane-wave DFT calculation with PBE was carried out for crystalline Ac6TeRu3 at its relaxed geometry.

abc: 4.437 12.626 14.878
angles: 126.11 90.00 90.00
Fractional positions:
Ac: 0.750 0.136 0.533
Ac: 0.250 0.864 0.467
Ac: 0.750 0.161 0.071
Ac: 0.250 0.839 0.929
Ac: 0.750 0.657 0.611
Ac: 0.250 0.343 0.389
Ac: 0.750 0.564 0.303
Ac: 0.250 0.436 0.697
Ac: 0.750 0.298 0.851
Ac: 0.250 0.702 0.149
Ac: 0.750 0.017 0.242
Ac: 0.250 0.983 0.758
Te: 0.750 0.615 0.933
Te: 0.250 0.385 0.067
Ru: 0.750 0.355 0.524
Ru: 0.250 0.645 0.476
Ru: 0.750 0.826 0.319
Ru: 0.250 0.174 0.681
Ru: 0.750 0.934 0.842
Ru: 0.250 0.066 0.158

Values from the calculation:
The calculated total energy comes out at -5.959 eV/atom. The density of states at the Fermi level comes out at 0.555 states/eV per atom. The calculation puts the uncorrected formation energy at -397 meV per atom.

---

A plane-wave DFT calculation with PBE was carried out for crystalline Ac2TeRu at its relaxed geometry.

abc: 4.455 4.455 8.192
angles: 74.22 74.22 60.00
Fractional positions:
Ru: 0.500 0.500 0.500
Ac: 0.764 0.764 0.707
Ac: 0.236 0.236 0.293
Te: 0.000 0.000 0.000

Values from the calculation:
The calculated total energy comes out at -5.835 eV/atom. The density of states at the Fermi level comes out at 1.502 states/eV per atom. The energy above the most stable polymorph in this dataset is 0 meV per atom. The calculation puts the uncorrected formation energy at -677 meV per atom.

---

The lowest calculated total energy belongs to which entry? Ac6TeRu3

---

What did the second record say?
A plane-wave DFT calculation with PBE was carried out for crystalline Ac8Tc2Ru at its relaxed geometry.

abc: 7.106 8.262 8.622
angles: 121.46 90.00 104.99
Fractional positions:
Ac: 0.255 0.763 0.382
Ac: 0.745 0.237 0.618
Ac: 0.745 0.744 0.112
Ac: 0.255 0.256 0.368
Ac: 0.248 0.743 0.872
Ac: 0.255 0.256 0.888
Ac: 0.745 0.744 0.632
Ac: 0.752 0.257 0.128
Tc: 0.467 0.437 0.718
Tc: 0.533 0.563 0.282
Ru: 0.000 0.000 0.000

Values from the calculation:
The calculated total energy comes out at -5.671 eV/atom. The density of states at the Fermi level comes out at 0.547 states/eV per atom.

---

calculated total energy of number 4 (Ac3TeRu)? -5.438 eV/atom

---

Which of these has the highest calculated total energy? number 4